[1]
# NdGdEr2

NdGdEr2 after structural relaxation (GGA-PBE, the Alexandria database).

Geometry as POSCAR:
```
NdGdEr2
1.0
-3.667 3.278 -0.926
-2.793 -2.087 3.672
2.019 3.207 3.358
Nd Er Gd
1 2 1
Direct
0.500 0.000 0.000
0.000 0.000 0.500
0.000 0.500 0.000
0.500 0.500 0.500
```

## Properties
- relative energy among the computed polymorphs (eV per atom) = 0.000
- ΔE_f (eV/atom) = 0.018

***

[2]
# NdGdEr2

NdGdEr2 after structural relaxation (GGA-PBE, the Alexandria database).

Geometry as POSCAR:
```
NdGdEr2
1.0
-1.583 -2.002 -2.501
1.981 -1.769 -2.390
0.512 -10.415 5.463
Er Nd Gd
2 1 1
Direct
0.249 0.249 0.252
0.751 0.751 0.748
0.000 0.000 0.000
0.500 0.500 0.500
```

## Properties
- relative energy among the computed polymorphs (eV per atom) = 0.005
- ΔE_f (eV/atom) = 0.023

***

[3]
# PrNdGdEr

PrNdGdEr after structural relaxation (GGA-PBE, the Alexandria database).

Geometry as POSCAR:
```
PrNdGdEr
1.0
-5.116 -0.115 -2.651
-4.143 -3.537 1.883
-4.656 2.156 2.626
Nd Pr Er Gd
1 1 1 1
Direct
0.250 0.250 0.250
0.750 0.750 0.750
0.000 0.000 0.000
0.500 0.500 0.500
```

## Properties
- ΔE_f (eV/atom) = 0.104